1.
# SiAsBr2O | Alexandria | GGA-PBE | optimized geometry
data_SiAsBr2O
_chemical_formula_sum 'Si1 As1 Br2 O1'
_space_group_name_H-M_alt 'P 4/m m m'
_space_group_IT_number 123
_space_group_name_Hall '-P 4 2'
_cell_length_a 4.893
_cell_length_b 4.893
_cell_length_c 5.150
_cell_angle_alpha 90.00
_cell_angle_beta 90.00
_cell_angle_gamma 90.00
loop_
_atom_site_label
_atom_site_type_symbol
_atom_site_fract_x
_atom_site_fract_y
_atom_site_fract_z
Si1 Si 0.000 0.000 0.000
As1 As 0.000 0.000 0.500
Br1 Br 0.000 0.500 0.000
O1 O 0.500 0.500 0.500
# * uncorrected formation energy: 811 meV per atom
# * energy above the most stable polymorph in this dataset: 147 meV/atom

=====

2.
# Sr2Pt | Alexandria | GGA-PBE | optimized geometry
data_Sr2Pt
_chemical_formula_sum 'Sr8 Pt4'
_space_group_name_H-M_alt 'C m c m'
_space_group_IT_number 63
_space_group_name_Hall '-C 2c 2'
_cell_length_a 3.795
_cell_length_b 21.151
_cell_length_c 5.239
_cell_angle_alpha 90.00
_cell_angle_beta 90.00
_cell_angle_gamma 90.00
loop_
_atom_site_label
_atom_site_type_symbol
_atom_site_fract_x
_atom_site_fract_y
_atom_site_fract_z
Sr1 Sr 0.000 0.057 0.250
Sr2 Sr 0.000 0.182 0.750
Pt1 Pt 0.000 0.433 0.250
# * energy relative to the elements: -1.6 eV/f.u.

=====

3.
# Si2AsCl | Alexandria | GGA-PBE | optimized geometry
data_Si2AsCl
_chemical_formula_sum 'Si8 As4 Cl4'
_space_group_name_H-M_alt 'F -4 3 m'
_space_group_IT_number 216
_space_group_name_Hall 'F -4 2 3'
_cell_length_a 6.529
_cell_length_b 6.529
_cell_length_c 6.529
_cell_angle_alpha 90.00
_cell_angle_beta 90.00
_cell_angle_gamma 90.00
loop_
_atom_site_label
_atom_site_type_symbol
_atom_site_fract_x
_atom_site_fract_y
_atom_site_fract_z
Si1 Si 0.000 0.000 0.000
Si2 Si 0.250 0.250 0.250
As1 As 0.250 0.250 0.750
Cl1 Cl 0.000 0.000 0.500
# * uncorrected formation energy: 499 meV per atom
# * energy above the most stable polymorph in this dataset: 549 meV/atom

=====

4.
# PrAu6 | Alexandria | GGA-PBE | optimized geometry
data_PrAu6
_chemical_formula_sum 'Pr2 Au12'
_space_group_name_H-M_alt 'I m -3 m'
_space_group_IT_number 229
_space_group_name_Hall '-I 4 2 3'
_cell_length_a 7.400
_cell_length_b 7.400
_cell_length_c 7.400
_cell_angle_alpha 90.00
_cell_angle_beta 90.00
_cell_angle_gamma 90.00
loop_
_atom_site_label
_atom_site_type_symbol
_atom_site_fract_x
_atom_site_fract_y
_atom_site_fract_z
Pr1 Pr 0.000 0.000 0.000
Au1 Au 0.000 0.250 0.500
# * energy relative to the elements: 2.4 eV/f.u.
# * energy above the most stable polymorph in this dataset: 754 meV/atom

=====

5.
# SrPr2InO | Alexandria | GGA-PBE | optimized geometry
data_SrPr2InO
_chemical_formula_sum 'Sr1 Pr2 In1 O1'
_space_group_name_H-M_alt 'P 4/m m m'
_space_group_IT_number 123
_space_group_name_Hall '-P 4 2'
_cell_length_a 5.064
_cell_length_b 5.064
_cell_length_c 5.127
_cell_angle_alpha 90.00
_cell_angle_beta 90.00
_cell_angle_gamma 90.00
loop_
_atom_site_label
_atom_site_type_symbol
_atom_site_fract_x
_atom_site_fract_y
_atom_site_fract_z
Sr1 Sr 0.000 0.000 0.000
Pr1 Pr 0.000 0.500 0.500
In1 In 0.500 0.500 0.000
O1 O 0.000 0.000 0.500
# * uncorrected formation energy: -1325 meV per atom

=====

6.
# LiPu2Te3 | Alexandria | GGA-PBE | optimized geometry
data_LiPu2Te3
_chemical_formula_sum 'Li2 Pu4 Te6'
_space_group_name_H-M_alt 'I m m m'
_space_group_IT_number 71
_space_group_name_Hall '-I 2 2'
_cell_length_a 4.416
_cell_length_b 6.241
_cell_length_c 13.191
_cell_angle_alpha 90.00
_cell_angle_beta 90.00
_cell_angle_gamma 90.00
loop_
_atom_site_label
_atom_site_type_symbol
_atom_site_fract_x
_atom_site_fract_y
_atom_site_fract_z
Li1 Li 0.000 0.000 0.000
Pu1 Pu 0.000 0.000 0.333
Te1 Te 0.000 0.500 0.000
Te2 Te 0.000 0.500 0.336
# * uncorrected formation energy: -1062 meV per atom

=====

7.
# FeTcRu2 | Alexandria | GGA-PBE | optimized geometry
data_FeTcRu2
_chemical_formula_sum 'Fe2 Tc2 Ru4'
_space_group_name_H-M_alt 'C 1 m 1'
_space_group_IT_number 8
_cell_length_a 8.874
_cell_length_b 2.691
_cell_length_c 4.622
_cell_angle_alpha 90.00
_cell_angle_beta 99.89
_cell_angle_gamma 90.00
loop_
_space_group_symop_operation_xyz
'x,y,z'
'x,-y,z'
'x+1/2,y+1/2,z'
'x+1/2,-y+1/2,z'
loop_
_atom_site_label
_atom_site_type_symbol
_atom_site_fract_x
_atom_site_fract_y
_atom_site_fract_z
Fe1 Fe 0.000 0.000 0.000
Tc1 Tc 0.250 0.000 0.748
Ru1 Ru 0.251 0.500 0.241
Ru2 Ru 0.498 0.000 0.497
# * energy relative to the elements: 0.5 eV/f.u.
# * energy above the most stable polymorph in this dataset: 28 meV/atom

=====

8.
# U3H12Pd5 | Alexandria | GGA-PBE | optimized geometry
data_U3H12Pd5
_chemical_formula_sum 'U24 H96 Pd40'
_space_group_name_H-M_alt 'I a -3 d'
_space_group_IT_number 230
_space_group_name_Hall '-I 4bd 2c 3'
_cell_length_a 11.867
_cell_length_b 11.867
_cell_length_c 11.867
_cell_angle_alpha 90.00
_cell_angle_beta 90.00
_cell_angle_gamma 90.00
loop_
_atom_site_label
_atom_site_type_symbol
_atom_site_fract_x
_atom_site_fract_y
_atom_site_fract_z
U1 U 0.000 0.250 0.125
H1 H 0.029 0.057 0.645
Pd1 Pd 0.000 0.000 0.000
Pd2 Pd 0.000 0.250 0.375
# * total DFT energy (no corrections): -101.35 eV per formula unit

=====

9.
# TbPaAgS4 | Alexandria | GGA-PBE | optimized geometry
data_TbPaAgS4
_chemical_formula_sum 'Tb4 Pa4 Ag4 S16'
_space_group_name_H-M_alt 'I m m a'
_space_group_IT_number 74
_space_group_name_Hall '-I 2b 2'
_cell_length_a 7.960
_cell_length_b 8.067
_cell_length_c 11.323
_cell_angle_alpha 90.00
_cell_angle_beta 90.00
_cell_angle_gamma 90.00
loop_
_atom_site_label
_atom_site_type_symbol
_atom_site_fract_x
_atom_site_fract_y
_atom_site_fract_z
Tb1 Tb 0.250 0.250 0.250
Pa1 Pa 0.000 0.000 0.000
Ag1 Ag 0.000 0.250 0.630
S1 S 0.000 0.014 0.239
S2 S 0.233 0.250 0.006
# * uncorrected formation energy: -1433 meV per atom

=====

10.
# KPSN2 | Alexandria | GGA-PBE | optimized geometry
data_KPSN2
_chemical_formula_sum 'K1 P1 S1 N2'
_space_group_name_H-M_alt 'P 4/m m m'
_space_group_IT_number 123
_space_group_name_Hall '-P 4 2'
_cell_length_a 3.625
_cell_length_b 3.625
_cell_length_c 8.988
_cell_angle_alpha 90.00
_cell_angle_beta 90.00
_cell_angle_gamma 90.00
loop_
_atom_site_label
_atom_site_type_symbol
_atom_site_fract_x
_atom_site_fract_y
_atom_site_fract_z
K1 K 0.000 0.000 0.000
P1 P 0.000 0.000 0.500
S1 S 0.500 0.500 0.000
N1 N 0.000 0.500 0.500
# * uncorrected formation energy: 1137 meV per atom
# * energy above the most stable polymorph in this dataset: 262 meV/atom

=====

11.
# Ho6AsS3N2 | Alexandria | GGA-PBE | optimized geometry
data_Ho6AsS3N2
_chemical_formula_sum 'Ho12 As2 S6 N4'
_space_group_name_H-M_alt 'C 1 2/m 1'
_space_group_IT_number 12
_cell_length_a 16.627
_cell_length_b 3.741
_cell_length_c 7.684
_cell_angle_alpha 90.00
_cell_angle_beta 104.39
_cell_angle_gamma 90.00
loop_
_space_group_symop_operation_xyz
'x,y,z'
'-x,-y,-z'
'-x,y,-z'
'x,-y,z'
'x+1/2,y+1/2,z'
'-x+1/2,-y+1/2,-z'
'-x+1/2,y+1/2,-z'
'x+1/2,-y+1/2,z'
loop_
_atom_site_label
_atom_site_type_symbol
_atom_site_fract_x
_atom_site_fract_y
_atom_site_fract_z
Ho1 Ho 0.020 0.000 0.266
Ho2 Ho 0.173 0.500 0.122
Ho3 Ho 0.179 0.500 0.564
As1 As 0.000 0.500 0.000
S1 S 0.000 0.500 0.500
S2 S 0.162 0.000 0.831
N1 N 0.171 0.000 0.339
# * uncorrected formation energy: -1773 meV per atom

=====

12.
# Tm5ThCu6 | Alexandria | GGA-PBE | optimized geometry
data_Tm5ThCu6
_chemical_formula_sum 'Tm10 Th2 Cu12'
_space_group_name_H-M_alt 'C 1 2/m 1'
_space_group_IT_number 12
_cell_length_a 15.466
_cell_length_b 6.864
_cell_length_c 4.895
_cell_angle_alpha 90.00
_cell_angle_beta 108.44
_cell_angle_gamma 90.00
loop_
_space_group_symop_operation_xyz
'x,y,z'
'-x,-y,-z'
'-x,y,-z'
'x,-y,z'
'x+1/2,y+1/2,z'
'-x+1/2,-y+1/2,-z'
'-x+1/2,y+1/2,-z'
'x+1/2,-y+1/2,z'
loop_
_atom_site_label
_atom_site_type_symbol
_atom_site_fract_x
_atom_site_fract_y
_atom_site_fract_z
Tm1 Tm 0.000 0.000 0.000
Tm2 Tm 0.166 0.000 0.666
Tm3 Tm 0.170 0.500 0.670
Th1 Th 0.000 0.500 0.000
Cu1 Cu 0.000 0.245 0.500
Cu2 Cu 0.168 0.250 0.166
# * energy relative to the elements: -2.9 eV/f.u.

=====

13.
# NaRe2GeH | Alexandria | GGA-PBE | optimized geometry
data_NaRe2GeH
_chemical_formula_sum 'Na1 Re2 Ge1 H1'
_space_group_name_H-M_alt 'P 4/m m m'
_space_group_IT_number 123
_space_group_name_Hall '-P 4 2'
_cell_length_a 3.886
_cell_length_b 3.886
_cell_length_c 4.376
_cell_angle_alpha 90.00
_cell_angle_beta 90.00
_cell_angle_gamma 90.00
loop_
_atom_site_label
_atom_site_type_symbol
_atom_site_fract_x
_atom_site_fract_y
_atom_site_fract_z
Na1 Na 0.000 0.000 0.000
Re1 Re 0.000 0.500 0.500
Ge1 Ge 0.500 0.500 0.000
H1 H 0.000 0.000 0.500
# * total DFT energy (no corrections): -30.71 eV per formula unit

=====

14.
# Pr15Sm4Y | Alexandria | GGA-PBE | optimized geometry
data_Pr15Sm4Y
_chemical_formula_sum 'Pr15 Sm4 Y1'
_space_group_name_H-M_alt 'P 4/m m m'
_space_group_IT_number 123
_space_group_name_Hall '-P 4 2'
_cell_length_a 5.231
_cell_length_b 5.231
_cell_length_c 26.040
_cell_angle_alpha 90.00
_cell_angle_beta 90.00
_cell_angle_gamma 90.00
loop_
_atom_site_label
_atom_site_type_symbol
_atom_site_fract_x
_atom_site_fract_y
_atom_site_fract_z
Pr1 Pr 0.000 0.000 0.000
Pr2 Pr 0.000 0.000 0.199
Pr3 Pr 0.000 0.000 0.400
Pr4 Pr 0.000 0.500 0.099
Pr5 Pr 0.000 0.500 0.300
Pr6 Pr 0.000 0.500 0.500
Sm1 Sm 0.500 0.500 0.199
Sm2 Sm 0.500 0.500 0.400
Y1 Y 0.500 0.500 0.000
# * energy relative to the elements: 0.2 eV/f.u.

=====

15.
# BaSb2H | Alexandria | GGA-PBE | optimized geometry
data_BaSb2H
_chemical_formula_sum 'Ba4 Sb8 H4'
_space_group_name_H-M_alt 'I -4 2 d'
_space_group_IT_number 122
_space_group_name_Hall 'I -4 2bw'
_cell_length_a 6.832
_cell_length_b 6.832
_cell_length_c 9.564
_cell_angle_alpha 90.00
_cell_angle_beta 90.00
_cell_angle_gamma 90.00
loop_
_atom_site_label
_atom_site_type_symbol
_atom_site_fract_x
_atom_site_fract_y
_atom_site_fract_z
Ba1 Ba 0.000 0.000 0.000
Sb1 Sb 0.001 0.250 0.625
H1 H 0.000 0.000 0.500
# * energy above the most stable polymorph in this dataset: 0 meV/atom

=====

16.
# NpGe2Pd | Alexandria | GGA-PBE | optimized geometry
data_NpGe2Pd
_chemical_formula_sum 'Np4 Ge8 Pd4'
_space_group_name_H-M_alt 'I 4/m m m'
_space_group_IT_number 139
_space_group_name_Hall '-I 4 2'
_cell_length_a 4.103
_cell_length_b 4.103
_cell_length_c 18.239
_cell_angle_alpha 90.00
_cell_angle_beta 90.00
_cell_angle_gamma 90.00
loop_
_atom_site_label
_atom_site_type_symbol
_atom_site_fract_x
_atom_site_fract_y
_atom_site_fract_z
Np1 Np 0.000 0.000 0.115
Ge1 Ge 0.000 0.000 0.342
Ge2 Ge 0.000 0.500 0.000
Pd1 Pd 0.000 0.500 0.250
# * energy relative to the elements: -1.2 eV/f.u.

=====

17.
# ScUMn2 | Alexandria | GGA-PBE | optimized geometry
data_ScUMn2
_chemical_formula_sum 'Sc1 U1 Mn2'
_space_group_name_H-M_alt 'P 4/m m m'
_space_group_IT_number 123
_space_group_name_Hall '-P 4 2'
_cell_length_a 3.183
_cell_length_b 3.183
_cell_length_c 6.405
_cell_angle_alpha 90.00
_cell_angle_beta 90.00
_cell_angle_gamma 90.00
loop_
_atom_site_label
_atom_site_type_symbol
_atom_site_fract_x
_atom_site_fract_y
_atom_site_fract_z
Sc1 Sc 0.000 0.000 0.000
U1 U 0.000 0.000 0.500
Mn1 Mn 0.500 0.500 0.290
# * energy relative to the elements: 0.0 eV/f.u.

=====

18.
# Ce4MnCl5 | Alexandria | GGA-PBE | optimized geometry
data_Ce4MnCl5
_chemical_formula_sum 'Ce8 Mn2 Cl10'
_space_group_name_H-M_alt 'C 1 2/m 1'
_space_group_IT_number 12
_cell_length_a 17.501
_cell_length_b 4.067
_cell_length_c 8.632
_cell_angle_alpha 90.00
_cell_angle_beta 106.28
_cell_angle_gamma 90.00
loop_
_space_group_symop_operation_xyz
'x,y,z'
'-x,-y,-z'
'-x,y,-z'
'x,-y,z'
'x+1/2,y+1/2,z'
'-x+1/2,-y+1/2,-z'
'-x+1/2,y+1/2,-z'
'x+1/2,-y+1/2,z'
loop_
_atom_site_label
_atom_site_type_symbol
_atom_site_fract_x
_atom_site_fract_y
_atom_site_fract_z
Ce1 Ce 0.001 0.000 0.233
Ce2 Ce 0.144 0.500 0.082
Mn1 Mn 0.000 0.500 0.000
Cl1 Cl 0.000 0.500 0.500
Cl2 Cl 0.170 0.000 0.327
Cl3 Cl 0.171 0.000 0.856
# * uncorrected formation energy: -1446 meV per atom

=====

19.
# PmHo2In3Se6 | Alexandria | GGA-PBE | optimized geometry
data_PmHo2In3Se6
_chemical_formula_sum 'Pm2 Ho4 In6 Se12'
_space_group_name_H-M_alt 'C 1 2/m 1'
_space_group_IT_number 12
_cell_length_a 7.230
_cell_length_b 12.518
_cell_length_c 8.107
_cell_angle_alpha 90.00
_cell_angle_beta 107.28
_cell_angle_gamma 90.00
loop_
_space_group_symop_operation_xyz
'x,y,z'
'-x,-y,-z'
'-x,y,-z'
'x,-y,z'
'x+1/2,y+1/2,z'
'-x+1/2,-y+1/2,-z'
'-x+1/2,y+1/2,-z'
'x+1/2,-y+1/2,z'
loop_
_atom_site_label
_atom_site_type_symbol
_atom_site_fract_x
_atom_site_fract_y
_atom_site_fract_z
Pm1 Pm 0.000 0.000 0.000
Ho1 Ho 0.000 0.333 0.000
In1 In 0.000 0.165 0.500
In2 In 0.000 0.500 0.500
Se1 Se 0.228 0.500 0.208
Se2 Se 0.241 0.171 0.210
# * uncorrected formation energy: -1296 meV per atom

=====

20.
# Ba5Fe4 | Alexandria | GGA-PBE | optimized geometry
data_Ba5Fe4
_chemical_formula_sum 'Ba10 Fe8'
_space_group_name_H-M_alt 'P 63/m c m'
_space_group_IT_number 193
_space_group_name_Hall '-P 6c 2'
_cell_length_a 9.8569
_cell_length_b 9.8569
_cell_length_c 7.3845
_cell_angle_alpha 90.00
_cell_angle_beta 90.00
_cell_angle_gamma 120.00
loop_
_atom_site_label
_atom_site_type_symbol
_atom_site_fract_x
_atom_site_fract_y
_atom_site_fract_z
Ba1 Ba 0.0000 0.2666 0.2500
Ba2 Ba 0.3333 0.6667 0.0000
Fe1 Fe 0.0000 0.0000 0.0000
Fe2 Fe 0.0000 0.3969 0.7500
# * energy relative to the elements: 7.7 eV/f.u.
# * energy above the most stable polymorph in this dataset: 100 meV/atom